Computed, not measured: a relaxed structure of Al2PtSe at the PBE-GGA level of DFT.

Values from the calculation:
The value obtained for the volume is 69.4 Å³ per cell. The formation energy (no corrections) comes out at -183 meV per atom.

Cell: 2.927 2.927 8.094 Å, 90.00 90.00 90.00°
Fractional positions:
Al  0.000  0.000  0.000
Al  0.500  0.500  0.244
Pt  0.000  0.000  0.433
Se  0.500  0.500  0.754

---

Computed, not measured: a relaxed structure of Tb2SmDy at the PBE-GGA level of DFT.

Values from the calculation:
The value obtained for the volume is 128.8 Å³ per cell. Its total energy is -4.6267 eV per atom.

Cell: 5.050 5.050 5.053 Å, 90.00 90.00 90.00°
Fractional positions:
Tb  0.000  0.500  0.000
Tb  0.500  0.000  0.000
Sm  0.000  0.000  0.500
Dy  0.500  0.500  0.500

---

Computed, not measured: a relaxed structure of Cu3NiI at the PBE-GGA level of DFT.

Values from the calculation:
The value obtained for the volume is 114.6 Å³ per cell. The formation energy (no corrections) comes out at 1477 meV per atom.

Cell: 4.857 4.857 4.857 Å, 90.00 90.00 90.00°
Fractional positions:
Cu  0.000  0.000  0.500
Cu  0.000  0.500  0.000
Cu  0.500  0.000  0.000
Ni  0.500  0.500  0.500
I  0.000  0.000  0.000